[1]
# PBE RbGaRe3, relaxed
data_RbGaRe3
_chemical_formula_sum 'Rb1 Ga1 Re3'
_space_group_name_H-M_alt 'P 1'
_space_group_IT_number 1
_cell_length_a 4.739
_cell_length_b 4.739
_cell_length_c 4.739
_cell_angle_alpha 90.00
_cell_angle_beta 90.00
_cell_angle_gamma 90.00
loop_
_space_group_symop_operation_xyz
'x,y,z'
loop_
_atom_site_label
_atom_site_type_symbol
_atom_site_fract_x
_atom_site_fract_y
_atom_site_fract_z
Rb1 Rb 0.000 0.000 0.000
Ga1 Ga 0.500 0.500 0.500
Re1 Re 0.000 0.000 0.500
Re2 Re 0.000 0.500 0.000
Re3 Re 0.500 0.000 0.000
# Distance to the lowest polymorph of the same formula in meV/atom: 1657
# Formation energy in eV per atom: 4.082



[2]
# PBE La2Pm2Ge2N, relaxed
data_La2Pm2Ge2N
_chemical_formula_sum 'La4 Pm4 Ge4 N2'
_space_group_name_H-M_alt 'P 1'
_space_group_IT_number 1
_cell_length_a 4.815
_cell_length_b 4.815
_cell_length_c 16.034
_cell_angle_alpha 90.00
_cell_angle_beta 90.00
_cell_angle_gamma 90.00
loop_
_space_group_symop_operation_xyz
'x,y,z'
loop_
_atom_site_label
_atom_site_type_symbol
_atom_site_fract_x
_atom_site_fract_y
_atom_site_fract_z
La1 La 0.000 0.000 0.170
La2 La 0.000 0.000 0.830
La3 La 0.500 0.500 0.330
La4 La 0.500 0.500 0.670
Pm1 Pm 0.000 0.500 0.000
Pm2 Pm 0.000 0.500 0.500
Pm3 Pm 0.500 0.000 0.000
Pm4 Pm 0.500 0.000 0.500
Ge1 Ge 0.000 0.000 0.366
Ge2 Ge 0.000 0.000 0.634
Ge3 Ge 0.500 0.500 0.134
Ge4 Ge 0.500 0.500 0.866
N1 N 0.000 0.000 0.000
N2 N 0.500 0.500 0.500
# Raw formation energy in eV/atom: -0.93



[3]
# PBE SbRhSe2Br, relaxed
data_SbRhSe2Br
_chemical_formula_sum 'Sb1 Rh1 Se2 Br1'
_space_group_name_H-M_alt 'P 1'
_space_group_IT_number 1
_cell_length_a 4.951
_cell_length_b 4.951
_cell_length_c 4.904
_cell_angle_alpha 90.00
_cell_angle_beta 90.00
_cell_angle_gamma 90.00
loop_
_space_group_symop_operation_xyz
'x,y,z'
loop_
_atom_site_label
_atom_site_type_symbol
_atom_site_fract_x
_atom_site_fract_y
_atom_site_fract_z
Sb1 Sb 0.000 0.000 0.000
Rh1 Rh 0.500 0.500 0.500
Se1 Se 0.000 0.500 0.500
Se2 Se 0.500 0.000 0.500
Br1 Br 0.500 0.500 0.000
# Raw formation energy in eV/atom: 0.20
# Distance to the lowest polymorph of the same formula in meV/atom: 0



[4]
# PBE BeCr2BPb, relaxed
data_BeCr2BPb
_chemical_formula_sum 'Be1 Cr2 B1 Pb1'
_space_group_name_H-M_alt 'P 1'
_space_group_IT_number 1
_cell_length_a 4.383
_cell_length_b 4.383
_cell_length_c 3.609
_cell_angle_alpha 90.00
_cell_angle_beta 90.00
_cell_angle_gamma 90.00
loop_
_space_group_symop_operation_xyz
'x,y,z'
loop_
_atom_site_label
_atom_site_type_symbol
_atom_site_fract_x
_atom_site_fract_y
_atom_site_fract_z
Be1 Be 0.000 0.000 0.000
Cr1 Cr 0.000 0.500 0.000
Cr2 Cr 0.500 0.000 0.000
B1 B 0.000 0.000 0.500
Pb1 Pb 0.500 0.500 0.500
# Formation energy in eV per atom: 0.893



[5]
# PBE K4Rb2Hg2Pd, relaxed
data_K4Rb2Hg2Pd
_chemical_formula_sum 'K4 Rb2 Hg2 Pd1'
_space_group_name_H-M_alt 'P 1'
_space_group_IT_number 1
_cell_length_a 8.493
_cell_length_b 8.493
_cell_length_c 6.991
_cell_angle_alpha 99.39
_cell_angle_beta 99.39
_cell_angle_gamma 58.59
loop_
_space_group_symop_operation_xyz
'x,y,z'
loop_
_atom_site_label
_atom_site_type_symbol
_atom_site_fract_x
_atom_site_fract_y
_atom_site_fract_z
K1 K 0.122 0.661 0.743
K2 K 0.339 0.878 0.257
K3 K 0.661 0.122 0.743
K4 K 0.878 0.339 0.257
Rb1 Rb 0.352 0.352 0.224
Rb2 Rb 0.648 0.648 0.776
Hg1 Hg 0.163 0.163 0.761
Hg2 Hg 0.837 0.837 0.239
Pd1 Pd 0.000 0.000 0.500
# Formation energy in eV per atom: -0.066



[6]
# PBE Ca2BeTl, relaxed
data_Ca2BeTl
_chemical_formula_sum 'Ca6 Be3 Tl3'
_space_group_name_H-M_alt 'P 1'
_space_group_IT_number 1
_cell_length_a 3.851
_cell_length_b 3.851
_cell_length_c 27.131
_cell_angle_alpha 90.00
_cell_angle_beta 90.00
_cell_angle_gamma 120.00
loop_
_space_group_symop_operation_xyz
'x,y,z'
loop_
_atom_site_label
_atom_site_type_symbol
_atom_site_fract_x
_atom_site_fract_y
_atom_site_fract_z
Ca1 Ca 0.000 0.000 0.239
Ca2 Ca 0.000 0.000 0.761
Ca3 Ca 0.333 0.667 0.428
Ca4 Ca 0.333 0.667 0.905
Ca5 Ca 0.667 0.333 0.095
Ca6 Ca 0.667 0.333 0.572
Be1 Be 0.000 0.000 0.500
Be2 Be 0.333 0.667 0.167
Be3 Be 0.667 0.333 0.833
Tl1 Tl 0.000 0.000 0.000
Tl2 Tl 0.333 0.667 0.667
Tl3 Tl 0.667 0.333 0.333
# Distance to the lowest polymorph of the same formula in meV/atom: 207
# Formation energy in eV per atom: 0.199



[7]
# PBE MgTaS2N, relaxed
data_MgTaS2N
_chemical_formula_sum 'Mg1 Ta1 S2 N1'
_space_group_name_H-M_alt 'P 1'
_space_group_IT_number 1
_cell_length_a 4.651
_cell_length_b 4.651
_cell_length_c 3.718
_cell_angle_alpha 90.00
_cell_angle_beta 90.00
_cell_angle_gamma 90.00
loop_
_space_group_symop_operation_xyz
'x,y,z'
loop_
_atom_site_label
_atom_site_type_symbol
_atom_site_fract_x
_atom_site_fract_y
_atom_site_fract_z
Mg1 Mg 0.000 0.000 0.000
Ta1 Ta 0.500 0.500 0.500
S1 S 0.000 0.500 0.000
S2 S 0.500 0.000 0.000
N1 N 0.000 0.000 0.500
# Raw formation energy in eV/atom: 0.82
# Distance to the lowest polymorph of the same formula in meV/atom: 1281



[8]
# PBE ScSi2Os, relaxed
data_ScSi2Os
_chemical_formula_sum 'Sc4 Si8 Os4'
_space_group_name_H-M_alt 'P 1'
_space_group_IT_number 1
_cell_length_a 6.189
_cell_length_b 6.189
_cell_length_c 6.189
_cell_angle_alpha 90.00
_cell_angle_beta 90.00
_cell_angle_gamma 90.00
loop_
_space_group_symop_operation_xyz
'x,y,z'
loop_
_atom_site_label
_atom_site_type_symbol
_atom_site_fract_x
_atom_site_fract_y
_atom_site_fract_z
Sc1 Sc 0.000 0.000 0.000
Sc2 Sc 0.000 0.500 0.500
Sc3 Sc 0.500 0.000 0.500
Sc4 Sc 0.500 0.500 0.000
Si1 Si 0.250 0.250 0.250
Si2 Si 0.250 0.250 0.750
Si3 Si 0.250 0.750 0.250
Si4 Si 0.250 0.750 0.750
Si5 Si 0.750 0.250 0.250
Si6 Si 0.750 0.250 0.750
Si7 Si 0.750 0.750 0.250
Si8 Si 0.750 0.750 0.750
Os1 Os 0.000 0.000 0.500
Os2 Os 0.000 0.500 0.000
Os3 Os 0.500 0.000 0.000
Os4 Os 0.500 0.500 0.500
# Raw formation energy in eV/atom: -0.35



[9]
# PBE MgAsCl2, relaxed
data_MgAsCl2
_chemical_formula_sum 'Mg3 As3 Cl6'
_space_group_name_H-M_alt 'P 1'
_space_group_IT_number 1
_cell_length_a 3.367
_cell_length_b 3.367
_cell_length_c 35.104
_cell_angle_alpha 90.00
_cell_angle_beta 90.00
_cell_angle_gamma 120.00
loop_
_space_group_symop_operation_xyz
'x,y,z'
loop_
_atom_site_label
_atom_site_type_symbol
_atom_site_fract_x
_atom_site_fract_y
_atom_site_fract_z
Mg1 Mg 0.000 0.000 0.000
Mg2 Mg 0.333 0.667 0.667
Mg3 Mg 0.667 0.333 0.333
As1 As 0.000 0.000 0.500
As2 As 0.333 0.667 0.167
As3 As 0.667 0.333 0.833
Cl1 Cl 0.000 0.000 0.376
Cl2 Cl 0.000 0.000 0.624
Cl3 Cl 0.333 0.667 0.042
Cl4 Cl 0.333 0.667 0.291
Cl5 Cl 0.667 0.333 0.709
Cl6 Cl 0.667 0.333 0.958
# Raw formation energy in eV/atom: -0.89
# Distance to the lowest polymorph of the same formula in meV/atom: 0



[10]
# PBE U2AlCo2, relaxed
data_U2AlCo2
_chemical_formula_sum 'U4 Al2 Co4'
_space_group_name_H-M_alt 'P 1'
_space_group_IT_number 1
_cell_length_a 7.084
_cell_length_b 7.084
_cell_length_c 3.388
_cell_angle_alpha 90.00
_cell_angle_beta 90.00
_cell_angle_gamma 90.00
loop_
_space_group_symop_operation_xyz
'x,y,z'
loop_
_atom_site_label
_atom_site_type_symbol
_atom_site_fract_x
_atom_site_fract_y
_atom_site_fract_z
U1 U 0.172 0.328 0.000
U2 U 0.328 0.828 0.000
U3 U 0.672 0.172 0.000
U4 U 0.828 0.672 0.000
Al1 Al 0.000 0.000 0.500
Al2 Al 0.500 0.500 0.500
Co1 Co 0.137 0.637 0.500
Co2 Co 0.363 0.137 0.500
Co3 Co 0.637 0.863 0.500
Co4 Co 0.863 0.363 0.500
# Formation energy in eV per atom: -0.255



[11]
# PBE Sr4ZnHg3, relaxed
data_Sr4ZnHg3
_chemical_formula_sum 'Sr4 Zn1 Hg3'
_space_group_name_H-M_alt 'P 1'
_space_group_IT_number 1
_cell_length_a 3.971
_cell_length_b 3.971
_cell_length_c 15.988
_cell_angle_alpha 90.00
_cell_angle_beta 90.00
_cell_angle_gamma 90.00
loop_
_space_group_symop_operation_xyz
'x,y,z'
loop_
_atom_site_label
_atom_site_type_symbol
_atom_site_fract_x
_atom_site_fract_y
_atom_site_fract_z
Sr1 Sr 0.000 0.000 0.121
Sr2 Sr 0.000 0.000 0.373
Sr3 Sr 0.000 0.000 0.627
Sr4 Sr 0.000 0.000 0.879
Zn1 Zn 0.500 0.500 0.000
Hg1 Hg 0.500 0.500 0.246
Hg2 Hg 0.500 0.500 0.500
Hg3 Hg 0.500 0.500 0.754
# Distance to the lowest polymorph of the same formula in meV/atom: 0
# Formation energy in eV per atom: -0.438



[12]
# PBE TmMgSc4Te8, relaxed
data_TmMgSc4Te8
_chemical_formula_sum 'Tm1 Mg1 Sc4 Te8'
_space_group_name_H-M_alt 'P 1'
_space_group_IT_number 1
_cell_length_a 8.691
_cell_length_b 8.691
_cell_length_c 8.691
_cell_angle_alpha 59.51
_cell_angle_beta 59.51
_cell_angle_gamma 59.51
loop_
_space_group_symop_operation_xyz
'x,y,z'
loop_
_atom_site_label
_atom_site_type_symbol
_atom_site_fract_x
_atom_site_fract_y
_atom_site_fract_z
Tm1 Tm 0.000 0.000 0.000
Mg1 Mg 0.372 0.372 0.372
Sc1 Sc 0.001 0.001 0.489
Sc2 Sc 0.001 0.489 0.001
Sc3 Sc 0.489 0.001 0.001
Sc4 Sc 0.626 0.626 0.626
Te1 Te 0.229 0.750 0.750
Te2 Te 0.241 0.241 0.241
Te3 Te 0.246 0.246 0.767
Te4 Te 0.246 0.767 0.246
Te5 Te 0.750 0.229 0.750
Te6 Te 0.750 0.750 0.229
Te7 Te 0.757 0.757 0.757
Te8 Te 0.767 0.246 0.246
# Raw formation energy in eV/atom: -1.13



The records above give, respectively, M_tot values of 2.70 0.00 0.00 5.07 0.00 0.00 0.00 0.00 0.00 0.33 0.00 0.00 μB/f.u..
The records above give, respectively, energy values of -4.186 -6.204 -3.823 -5.779 -1.413 -2.325 -5.185 -7.452 -3.371 -8.361 -1.551 -5.166 eV per atom.
The records above give, respectively, calculated volume values of 21.29 26.55 24.04 13.87 46.98 29.04 16.09 14.82 28.73 17.00 31.52 32.79 Å³ per atom.